Record 1
VASP calculation (PBEsol) on a relaxed structure of LaSc2Se.

Lattice parameters (Å, degrees): 3.504 3.504 9.870 79.77 79.77 60.00
Positions (direct):
1 Sc 0.110 0.110 0.670
2 Se 0.500 0.500 0.500
3 Sc 0.890 0.890 0.330
4 La 0.000 0.000 0.000

Values from the calculation:
Uncorrected formation energy ... -583 meV per atom


Record 2
VASP calculation (PBEsol) on a relaxed structure of P2AuSO.

Lattice parameters (Å, degrees): 3.973 3.973 4.655 90.00 90.00 90.00
Positions (direct):
1 P 0.500 0.000 0.000
2 S 0.000 0.000 0.500
3 O 0.000 0.000 0.000
4 Au 0.500 0.500 0.500
5 P 0.000 0.500 0.000

Values from the calculation:
Offset from the most stable computed form ... 0.00 eV/f.u.
Uncorrected formation energy ... 680 meV per atom


Record 3
VASP calculation (PBEsol) on a relaxed structure of NaCuGe2.

Lattice parameters (Å, degrees): 4.531 4.531 4.531 60.00 60.00 60.00
Positions (direct):
1 Cu 0.500 0.500 0.500
2 Ge 0.250 0.250 0.250
3 Ge 0.750 0.750 0.750
4 Na 0.000 0.000 0.000

Values from the calculation:
DFT formation energy ... 0.19 eV per atom


Record 4
VASP calculation (PBEsol) on a relaxed structure of Al2TcMo.

Lattice parameters (Å, degrees): 3.111 3.111 5.953 90.00 90.00 90.00
Positions (direct):
1 Al 0.500 0.500 0.252
2 Al 0.000 0.000 0.990
3 Mo 0.000 0.000 0.506
4 Tc 0.500 0.500 0.752

Values from the calculation:
Offset from the most stable computed form ... 0.00 eV/f.u.
DFT formation energy ... -0.35 eV per atom


no.,total moment (μB/atom)
1,0.000
2,0.000
3,0.000
4,0.000